1.
# RbAc2Mo2N6 PBE-GGA relaxed
# * uncorrected energy: -7.870 eV/atom
data_RbAc2Mo2N6
_chemical_formula_sum 'Rb1 Ac2 Mo2 N6'
_symmetry_space_group_name_H-M 'P -1'
_symmetry_Int_Tables_number 2
_symmetry_space_group_name_Hall '-P 1'
_cell_length_a 6.5258
_cell_length_b 7.0067
_cell_length_c 7.0479
_cell_angle_alpha 94.72
_cell_angle_beta 115.97
_cell_angle_gamma 114.66
loop_
_atom_site_label
_atom_site_fract_x
_atom_site_fract_y
_atom_site_fract_z
Rb1 0.0000 0.0000 0.0000
Ac1 0.3885 0.2879 0.6826
Mo1 0.2224 0.6825 0.6758
N1 0.1241 0.8966 0.6664
N2 0.2683 0.5526 0.8953
N3 0.4574 0.6972 0.5933



2.
# HfBiO2 PBE-GGA relaxed
# * uncorrected energy: -8.038 eV/atom
data_HfBiO2
_chemical_formula_sum 'Hf4 Bi4 O8'
_symmetry_space_group_name_H-M 'I 41/a m d'
_symmetry_Int_Tables_number 141
_cell_length_a 6.3336
_cell_length_b 6.3336
_cell_length_c 8.9729
_cell_angle_alpha 90.00
_cell_angle_beta 90.00
_cell_angle_gamma 90.00
loop_
_symmetry_equiv_pos_as_xyz
'x,y,z'
'-x,-y,-z'
'-y+1/4,x+3/4,z+1/4'
'y+1/4,-x+3/4,-z+1/4'
'-x+1/2,-y,z+1/2'
'x+1/2,y,-z+1/2'
'y+1/4,-x+1/4,z+3/4'
'-y+1/4,x+1/4,-z+3/4'
'x,-y,-z'
'-x,y,z'
'-y+1/4,-x+1/4,-z+3/4'
'y+1/4,x+1/4,z+3/4'
'-x+1/2,y,-z+1/2'
'x+1/2,-y,z+1/2'
'y+1/4,x+3/4,-z+1/4'
'-y+1/4,-x+3/4,z+1/4'
'x+1/2,y+1/2,z+1/2'
'-x+1/2,-y+1/2,-z+1/2'
'-y+3/4,x+1/4,z+3/4'
'y+3/4,-x+1/4,-z+3/4'
'-x,-y+1/2,z'
'x,y+1/2,-z'
'y+3/4,-x+3/4,z+1/4'
'-y+3/4,x+3/4,-z+1/4'
'x+1/2,-y+1/2,-z+1/2'
'-x+1/2,y+1/2,z+1/2'
'-y+3/4,-x+3/4,-z+1/4'
'y+3/4,x+3/4,z+1/4'
'-x,y+1/2,-z'
'x,-y+1/2,z'
'y+3/4,x+1/4,-z+3/4'
'-y+3/4,-x+1/4,z+3/4'
loop_
_atom_site_label
_atom_site_fract_x
_atom_site_fract_y
_atom_site_fract_z
Hf1 0.0000 0.2500 0.3750
Bi1 0.0000 0.2500 0.8750
O1 0.0000 0.0000 0.5000



3.
# ScIrOs2 PBE-GGA relaxed
# * excess energy over the best structure of this formula in the dataset: 261 meV/atom
data_ScIrOs2
_chemical_formula_sum 'Sc3 Ir3 Os6'
_symmetry_space_group_name_H-M 'R 3 m'
_symmetry_Int_Tables_number 160
_symmetry_space_group_name_Hall 'R 3 -2"'
_cell_length_a 2.8386
_cell_length_b 2.8386
_cell_length_c 26.8305
_cell_angle_alpha 90.00
_cell_angle_beta 90.00
_cell_angle_gamma 120.00
loop_
_atom_site_label
_atom_site_fract_x
_atom_site_fract_y
_atom_site_fract_z
Sc1 0.0000 0.0000 0.0000
Ir1 0.0000 0.0000 0.2504
Os1 0.0000 0.0000 0.4998
Os2 0.0000 0.0000 0.7552



4.
# Re2Te4Rh PBE-GGA relaxed
# * uncorrected energy: -5.572 eV/atom
data_Re2Te4Rh
_chemical_formula_sum 'Re4 Te8 Rh2'
_symmetry_space_group_name_H-M 'I 4/m m m'
_symmetry_Int_Tables_number 139
_symmetry_space_group_name_Hall '-I 4 2'
_cell_length_a 5.3668
_cell_length_b 5.3668
_cell_length_c 12.8462
_cell_angle_alpha 90.00
_cell_angle_beta 90.00
_cell_angle_gamma 90.00
loop_
_atom_site_label
_atom_site_fract_x
_atom_site_fract_y
_atom_site_fract_z
Re1 0.0000 0.0000 0.0913
Te1 0.0000 0.0000 0.2913
Te2 0.0000 0.5000 0.0000
Rh1 0.0000 0.0000 0.5000



5.
# BaSbMoS2 PBE-GGA relaxed
# * uncorrected energy: -5.608 eV/atom
data_BaSbMoS2
_chemical_formula_sum 'Ba1 Sb1 Mo1 S2'
_symmetry_space_group_name_H-M 'P 4/m m m'
_symmetry_Int_Tables_number 123
_symmetry_space_group_name_Hall '-P 4 2'
_cell_length_a 4.8170
_cell_length_b 4.8170
_cell_length_c 5.4922
_cell_angle_alpha 90.00
_cell_angle_beta 90.00
_cell_angle_gamma 90.00
loop_
_atom_site_label
_atom_site_fract_x
_atom_site_fract_y
_atom_site_fract_z
Ba1 0.0000 0.0000 0.0000
Sb1 0.5000 0.5000 0.0000
Mo1 0.5000 0.5000 0.5000
S1 0.0000 0.5000 0.5000



6.
# LiZn2Br PBE-GGA relaxed
# * excess energy over the best structure of this formula in the dataset: 171 meV/atom
data_LiZn2Br
_chemical_formula_sum 'Li4 Zn8 Br4'
_symmetry_space_group_name_H-M 'I -4 2 d'
_symmetry_Int_Tables_number 122
_symmetry_space_group_name_Hall 'I -4 2bw'
_cell_length_a 8.6462
_cell_length_b 8.6462
_cell_length_c 5.0024
_cell_angle_alpha 90.00
_cell_angle_beta 90.00
_cell_angle_gamma 90.00
loop_
_atom_site_label
_atom_site_fract_x
_atom_site_fract_y
_atom_site_fract_z
Li1 0.0000 0.0000 0.0000
Zn1 0.2403 0.2500 0.6250
Br1 0.0000 0.0000 0.5000



7.
# Eu2TeI PBE-GGA relaxed
# * excess energy over the best structure of this formula in the dataset: 108 meV/atom
data_Eu2TeI
_chemical_formula_sum 'Eu8 Te4 I4'
_symmetry_space_group_name_H-M 'F m -3 m'
_symmetry_Int_Tables_number 225
_symmetry_space_group_name_Hall '-F 4 2 3'
_cell_length_a 7.9962
_cell_length_b 7.9962
_cell_length_c 7.9962
_cell_angle_alpha 90.00
_cell_angle_beta 90.00
_cell_angle_gamma 90.00
loop_
_atom_site_label
_atom_site_fract_x
_atom_site_fract_y
_atom_site_fract_z
Eu1 0.2500 0.2500 0.2500
Te1 0.0000 0.0000 0.0000
I1 0.0000 0.0000 0.5000



8.
# BaMg2Co2 PBE-GGA relaxed
# * excess energy over the best structure of this formula in the dataset: 111 meV/atom
data_BaMg2Co2
_chemical_formula_sum 'Ba2 Mg4 Co4'
_symmetry_space_group_name_H-M 'P 4/m b m'
_symmetry_Int_Tables_number 127
_symmetry_space_group_name_Hall '-P 4 2ab'
_cell_length_a 8.0410
_cell_length_b 8.0410
_cell_length_c 3.0180
_cell_angle_alpha 90.00
_cell_angle_beta 90.00
_cell_angle_gamma 90.00
loop_
_atom_site_label
_atom_site_fract_x
_atom_site_fract_y
_atom_site_fract_z
Ba1 0.0000 0.0000 0.0000
Mg1 0.1282 0.3718 0.5000
Co1 0.1596 0.6596 0.0000



9.
# Tm8Ni2Sn PBE-GGA relaxed
# * uncorrected energy: -4.917 eV/atom
data_Tm8Ni2Sn
_chemical_formula_sum 'Tm16 Ni4 Sn2'
_symmetry_space_group_name_H-M 'C 1 2/m 1'
_symmetry_Int_Tables_number 12
_symmetry_space_group_name_Hall '-C 2y'
_cell_length_a 8.5911
_cell_length_b 13.0676
_cell_length_c 5.2218
_cell_angle_alpha 90.00
_cell_angle_beta 104.04
_cell_angle_gamma 90.00
loop_
_atom_site_label
_atom_site_fract_x
_atom_site_fract_y
_atom_site_fract_z
Tm1 0.0000 0.2489 0.0000
Tm2 0.1085 0.5000 0.8013
Tm3 0.2036 0.1289 0.5802
Ni1 0.0000 0.3071 0.5000
Sn1 0.0000 0.0000 0.0000



10.
# PRuPb2N PBE-GGA relaxed
# * uncorrected energy: -5.509 eV/atom
data_PRuPb2N
_chemical_formula_sum 'P1 Ru1 Pb2 N1'
_symmetry_space_group_name_H-M 'P 4/m m m'
_symmetry_Int_Tables_number 123
_symmetry_space_group_name_Hall '-P 4 2'
_cell_length_a 5.3668
_cell_length_b 5.3668
_cell_length_c 3.7537
_cell_angle_alpha 90.00
_cell_angle_beta 90.00
_cell_angle_gamma 90.00
loop_
_atom_site_label
_atom_site_fract_x
_atom_site_fract_y
_atom_site_fract_z
P1 0.0000 0.0000 0.0000
Ru1 0.5000 0.5000 0.0000
Pb1 0.0000 0.5000 0.5000
N1 0.5000 0.5000 0.5000



11.
# DyPuTl2 PBE-GGA relaxed
# * excess energy over the best structure of this formula in the dataset: 0 meV/atom
data_DyPuTl2
_chemical_formula_sum 'Dy1 Pu1 Tl2'
_symmetry_space_group_name_H-M 'P 4/m m m'
_symmetry_Int_Tables_number 123
_symmetry_space_group_name_Hall '-P 4 2'
_cell_length_a 3.4028
_cell_length_b 3.4028
_cell_length_c 9.3392
_cell_angle_alpha 90.00
_cell_angle_beta 90.00
_cell_angle_gamma 90.00
loop_
_atom_site_label
_atom_site_fract_x
_atom_site_fract_y
_atom_site_fract_z
Dy1 0.0000 0.0000 0.0000
Pu1 0.0000 0.0000 0.5000
Tl1 0.5000 0.5000 0.2460



12.
# La2TbDyTm PBE-GGA relaxed
# * uncorrected energy: -4.461 eV/atom
data_La2TbDyTm
_chemical_formula_sum 'La4 Tb2 Dy2 Tm2'
_symmetry_space_group_name_H-M 'P m m a'
_symmetry_Int_Tables_number 51
_symmetry_space_group_name_Hall '-P 2a 2a'
_cell_length_a 6.3605
_cell_length_b 7.8670
_cell_length_c 6.8519
_cell_angle_alpha 90.00
_cell_angle_beta 90.00
_cell_angle_gamma 90.00
loop_
_atom_site_label
_atom_site_fract_x
_atom_site_fract_y
_atom_site_fract_z
La1 0.2500 0.2008 0.2031
Tb1 0.2500 0.0000 0.6750
Dy1 0.0000 0.5000 0.5000
Tm1 0.2500 0.5000 0.9042



13.
# Y6BiTe3P2 PBE-GGA relaxed
# * uncorrected energy: -6.653 eV/atom
data_Y6BiTe3P2
_chemical_formula_sum 'Y12 Bi2 Te6 P4'
_symmetry_space_group_name_H-M 'C 1 2/m 1'
_symmetry_Int_Tables_number 12
_symmetry_space_group_name_Hall '-C 2y'
_cell_length_a 18.7703
_cell_length_b 4.2157
_cell_length_c 8.6528
_cell_angle_alpha 90.00
_cell_angle_beta 104.24
_cell_angle_gamma 90.00
loop_
_atom_site_label
_atom_site_fract_x
_atom_site_fract_y
_atom_site_fract_z
Y1 0.0182 0.0000 0.2604
Y2 0.1726 0.5000 0.1235
Y3 0.1774 0.5000 0.5643
Bi1 0.0000 0.5000 0.0000
Te1 0.0000 0.5000 0.5000
Te2 0.1602 0.0000 0.8339
P1 0.1700 0.0000 0.3392



14.
# FeNiPb3 PBE-GGA relaxed
# * excess energy over the best structure of this formula in the dataset: 4 meV/atom
data_FeNiPb3
_chemical_formula_sum 'Fe1 Ni1 Pb3'
_symmetry_space_group_name_H-M 'P m -3 m'
_symmetry_Int_Tables_number 221
_symmetry_space_group_name_Hall '-P 4 2 3'
_cell_length_a 5.0257
_cell_length_b 5.0257
_cell_length_c 5.0257
_cell_angle_alpha 90.00
_cell_angle_beta 90.00
_cell_angle_gamma 90.00
loop_
_atom_site_label
_atom_site_fract_x
_atom_site_fract_y
_atom_site_fract_z
Fe1 0.0000 0.0000 0.0000
Ni1 0.5000 0.5000 0.5000
Pb1 0.0000 0.0000 0.5000



15.
# Tm8TlTe4As3 PBE-GGA relaxed
# * uncorrected energy: -5.280 eV/atom
data_Tm8TlTe4As3
_chemical_formula_sum 'Tm24 Tl3 Te12 As9'
_symmetry_space_group_name_H-M 'R -3 m'
_symmetry_Int_Tables_number 166
_symmetry_space_group_name_Hall '-R 3 2"'
_cell_length_a 8.4165
_cell_length_b 8.4165
_cell_length_c 20.9218
_cell_angle_alpha 90.00
_cell_angle_beta 90.00
_cell_angle_gamma 120.00
loop_
_atom_site_label
_atom_site_fract_x
_atom_site_fract_y
_atom_site_fract_z
Tm1 0.0000 0.0000 0.2390
Tm2 0.0055 0.5028 0.7586
Tl1 0.0000 0.0000 0.5000
Te1 0.0000 0.0000 0.0000
Te2 0.0000 0.5000 0.0000
As1 0.0000 0.5000 0.5000



16.
# LaDy2Tm5Sc PBE-GGA relaxed
# * uncorrected energy: -4.575 eV/atom
data_LaDy2Tm5Sc
_chemical_formula_sum 'La4 Dy8 Tm20 Sc4'
_symmetry_space_group_name_H-M 'C m c 21'
_symmetry_Int_Tables_number 36
_symmetry_space_group_name_Hall 'C 2c -2'
_cell_length_a 5.5375
_cell_length_b 19.5478
_cell_length_c 10.2964
_cell_angle_alpha 90.00
_cell_angle_beta 90.00
_cell_angle_gamma 90.00
loop_
_atom_site_label
_atom_site_fract_x
_atom_site_fract_y
_atom_site_fract_z
La1 0.0000 0.0848 0.0000
Dy1 0.0000 0.3863 0.2815
Dy2 0.0000 0.3891 0.8631
Tm1 0.0000 0.0192 0.2852
Tm2 0.0000 0.1233 0.5688
Tm3 0.0000 0.2033 0.2560
Tm4 0.0000 0.2239 0.8724
Tm5 0.0000 0.4821 0.5713
Sc1 0.0000 0.3028 0.5623



17.
# CoBSeBr2 PBE-GGA relaxed
# * excess energy over the best structure of this formula in the dataset: 31 meV/atom
data_CoBSeBr2
_chemical_formula_sum 'Co1 B1 Se1 Br2'
_symmetry_space_group_name_H-M 'P 4/m m m'
_symmetry_Int_Tables_number 123
_symmetry_space_group_name_Hall '-P 4 2'
_cell_length_a 4.5704
_cell_length_b 4.5704
_cell_length_c 4.6941
_cell_angle_alpha 90.00
_cell_angle_beta 90.00
_cell_angle_gamma 90.00
loop_
_atom_site_label
_atom_site_fract_x
_atom_site_fract_y
_atom_site_fract_z
Co1 0.0000 0.0000 0.0000
B1 0.5000 0.5000 0.5000
Se1 0.5000 0.5000 0.0000
Br1 0.0000 0.5000 0.5000



18.
# ScPaN PBE-GGA relaxed
# * excess energy over the best structure of this formula in the dataset: 390 meV/atom
data_ScPaN
_chemical_formula_sum 'Sc2 Pa2 N2'
_symmetry_space_group_name_H-M 'I 4 m m'
_symmetry_Int_Tables_number 107
_symmetry_space_group_name_Hall 'I 4 -2'
_cell_length_a 3.0432
_cell_length_b 3.0432
_cell_length_c 12.9289
_cell_angle_alpha 90.00
_cell_angle_beta 90.00
_cell_angle_gamma 90.00
loop_
_atom_site_label
_atom_site_fract_x
_atom_site_fract_y
_atom_site_fract_z
Sc1 0.0000 0.0000 0.0000
Pa1 0.0000 0.0000 0.2902
N1 0.0000 0.0000 0.4599



19.
# Pm7SmIr4 PBE-GGA relaxed
# * uncorrected energy: -6.408 eV/atom
data_Pm7SmIr4
_chemical_formula_sum 'Pm14 Sm2 Ir8'
_symmetry_space_group_name_H-M 'C 1 2/m 1'
_symmetry_Int_Tables_number 12
_symmetry_space_group_name_Hall '-C 2y'
_cell_length_a 13.9405
_cell_length_b 5.4800
_cell_length_c 10.3468
_cell_angle_alpha 90.00
_cell_angle_beta 126.21
_cell_angle_gamma 90.00
loop_
_atom_site_label
_atom_site_fract_x
_atom_site_fract_y
_atom_site_fract_z
Pm1 0.0000 0.0000 0.0000
Pm2 0.0904 0.5000 0.3778
Pm3 0.1651 0.0000 0.6186
Pm4 0.2092 0.5000 0.8720
Sm1 0.0000 0.5000 0.0000
Ir1 0.0666 0.0000 0.7853
Ir2 0.2002 0.0000 0.3231



20.
# La2CdIn PBE-GGA relaxed
# * uncorrected energy: -3.587 eV/atom
data_La2CdIn
_chemical_formula_sum 'La6 Cd3 In3'
_symmetry_space_group_name_H-M 'R -3 m'
_symmetry_Int_Tables_number 166
_symmetry_space_group_name_Hall '-R 3 2"'
_cell_length_a 3.8743
_cell_length_b 3.8743
_cell_length_c 30.3753
_cell_angle_alpha 90.00
_cell_angle_beta 90.00
_cell_angle_gamma 120.00
loop_
_atom_site_label
_atom_site_fract_x
_atom_site_fract_y
_atom_site_fract_z
La1 0.0000 0.0000 0.2492
Cd1 0.0000 0.0000 0.0000
In1 0.0000 0.0000 0.5000